LaSbMo2O9 | PBE with a Hubbard U | relaxed

VASP energy = -375.36 eV per cell
Space group = C2/c (15)

Cell lengths 10.0121, 10.0121, 11.1586 Å; angles 68.53, 68.53, 96.22 degrees
Last column: nearest neighbours and their distance in Å.
Element x y z (fractional)
La: 0.8764 0.1236 0.2500  8 O 2.50-2.53
La: 0.1236 0.8764 0.7500  8 O 2.50-2.53
La: 0.6764 0.3236 0.7500  8 O 2.46-2.56
La: 0.3236 0.6764 0.2500  8 O 2.46-2.56
Sb: 0.6238 0.6440 0.4607  3 O 2.01-2.11
Sb: 0.3762 0.3560 0.5393  3 O 2.01-2.11
Sb: 0.3560 0.3762 0.0393  3 O 2.01-2.11
Sb: 0.6440 0.6238 0.9607  3 O 2.01-2.11
Mo: 0.0624 0.4358 0.8044  4 O 1.77-1.86
Mo: 0.9499 0.7408 0.5254  4 O 1.77-1.85
Mo: 0.2592 0.0501 0.9746  4 O 1.77-1.85
Mo: 0.9376 0.5642 0.1956  4 O 1.77-1.86
Mo: 0.7408 0.9499 0.0254  4 O 1.77-1.85
Mo: 0.5642 0.9376 0.6956  4 O 1.77-1.86
Mo: 0.0501 0.2592 0.4746  4 O 1.77-1.85
Mo: 0.4358 0.0624 0.3044  4 O 1.77-1.86
O: 0.4036 0.2174 0.9261  1 Mo 1.85
O: 0.8783 0.2956 0.5614  1 Mo 1.79
O: 0.3791 0.2160 0.1977  1 Mo 1.86, 1 Sb 2.01
O: 0.8625 0.3831 0.2194  1 Mo 1.77
O: 0.5964 0.7826 0.0739  1 Mo 1.85
O: 0.0980 0.0644 0.0997  1 Mo 1.77
O: 0.7826 0.5964 0.5739  1 Mo 1.85
O: 0.3831 0.8625 0.7194  1 Mo 1.77
O: 0.2174 0.4036 0.4261  1 Mo 1.85
O: 0.1217 0.7044 0.4386  1 Mo 1.79
O: 0.1375 0.6169 0.7806  1 Mo 1.77
O: 0.4247 0.5404 0.0968  2 Sb 2.01-2.11
O: 0.9477 0.7732 0.6741  1 Mo 1.80
O: 0.0118 0.6927 0.0123  1 Mo 1.77
O: 0.7840 0.6209 0.3023  1 Mo 1.86, 1 Sb 2.01
O: 0.9882 0.3073 0.9877  1 Mo 1.77
O: 0.5753 0.4596 0.9032  2 Sb 2.01-2.11
O: 0.5594 0.0846 0.7498  1 Mo 1.78
O: 0.0846 0.5594 0.2498  1 Mo 1.78
O: 0.6209 0.7840 0.8023  1 Mo 1.86, 1 Sb 2.01
O: 0.9020 0.9356 0.9003  1 Mo 1.77
O: 0.3073 0.9882 0.4877  1 Mo 1.77
O: 0.2956 0.8783 0.0614  1 Mo 1.79
O: 0.0523 0.2268 0.3259  1 Mo 1.80
O: 0.9154 0.4406 0.7502  1 Mo 1.78
O: 0.2160 0.3791 0.6977  1 Mo 1.86, 1 Sb 2.01
O: 0.6169 0.1375 0.2806  1 Mo 1.77
O: 0.0644 0.0980 0.5997  1 Mo 1.77
O: 0.2268 0.0523 0.8259  1 Mo 1.80
O: 0.4596 0.5753 0.4032  2 Sb 2.01-2.11
O: 0.5404 0.4247 0.5968  2 Sb 2.01-2.11
O: 0.4406 0.9154 0.2502  1 Mo 1.78
O: 0.9356 0.9020 0.4003  1 Mo 1.77
O: 0.7732 0.9477 0.1741  1 Mo 1.80
O: 0.6927 0.0118 0.5123  1 Mo 1.77
O: 0.7044 0.1217 0.9386  1 Mo 1.79